# 1
Entry from Alexandria via LeMat-Bulk: an optimized crystal structure of CaNdGd2 (PBE).

CIF file:
```
data_CaNdGd2
_chemical_formula_sum 'Ca1 Nd1 Gd2'
_cell_length_a 3.6597
_cell_length_b 3.6597
_cell_length_c 10.4993
_cell_angle_alpha 90.00
_cell_angle_beta 90.00
_cell_angle_gamma 90.00
_symmetry_space_group_name_H-M 'P 4/m m m'
_symmetry_Int_Tables_number 123
_symmetry_space_group_name_Hall '-P 4 2'
loop_
_atom_site_label
_atom_site_type_symbol
_atom_site_fract_x
_atom_site_fract_y
_atom_site_fract_z
_atom_site_occupancy
Ca1 Ca 0.0000 0.0000 0.0000 1
Nd1 Nd 0.0000 0.0000 0.5000 1
Gd1 Gd 0.5000 0.5000 0.2660 1
```

For the formation enthalpy at 0 K, the calculation gives 0.05 eV per atom. The calculation puts the total magnetic moment at 15.31 μB/f.u. The value obtained for the mass density is 5.89 g/cm3.



# 2
Entry from Alexandria via LeMat-Bulk: an optimized crystal structure of Cs2CaBiBr6 (PBE).

CIF file:
```
data_Cs2CaBiBr6
_chemical_formula_sum 'Cs4 Ca2 Bi2 Br12'
_cell_length_a 9.1577
_cell_length_b 11.5428
_cell_length_c 8.2309
_cell_angle_alpha 90.00
_cell_angle_beta 90.00
_cell_angle_gamma 90.00
_symmetry_space_group_name_H-M 'P m m n'
_symmetry_Int_Tables_number 59
loop_
_symmetry_equiv_pos_as_xyz
'x,y,z'
'-x,-y,-z'
'-x+1/2,-y+1/2,z'
'x+1/2,y+1/2,-z'
'x+1/2,-y,-z'
'-x+1/2,y,z'
'-x,y+1/2,-z'
'x,-y+1/2,z'
loop_
_atom_site_label
_atom_site_type_symbol
_atom_site_fract_x
_atom_site_fract_y
_atom_site_fract_z
_atom_site_occupancy
Cs1 Cs 0.2500 0.0088 0.1555 1
Ca1 Ca 0.2500 0.2500 0.6873 1
Bi1 Bi 0.2500 0.7500 0.6437 1
Br1 Br 0.0127 0.2500 0.9085 1
Br2 Br 0.0608 0.2500 0.3934 1
Br3 Br 0.2500 0.5036 0.6824 1
```

Its energy relative to the elements, uncorrected is -1.445 eV per atom. The calculation puts the total magnetic moment at 1.00 μB/f.u. The value obtained for the mass density is 3.80 g/cm3.



# 3
Entry from Alexandria via LeMat-Bulk: an optimized crystal structure of Os3Se (PBE).

CIF file:
```
data_Os3Se
_chemical_formula_sum 'Os3 Se1'
_cell_length_a 2.8546
_cell_length_b 2.8546
_cell_length_c 7.3150
_cell_angle_alpha 90.00
_cell_angle_beta 90.00
_cell_angle_gamma 90.00
_symmetry_space_group_name_H-M 'P 4/m m m'
_symmetry_Int_Tables_number 123
_symmetry_space_group_name_Hall '-P 4 2'
loop_
_atom_site_label
_atom_site_type_symbol
_atom_site_fract_x
_atom_site_fract_y
_atom_site_fract_z
_atom_site_occupancy
Os1 Os 0.0000 0.0000 0.0000 1
Os2 Os 0.5000 0.5000 0.2473 1
Se1 Se 0.0000 0.0000 0.5000 1
```

Its energy relative to the elements, uncorrected is 0.577 eV per atom. The calculation puts the total magnetic moment at 0.00 μB/f.u. The value obtained for the mass density is 18.10 g/cm3.



# 4
Entry from Alexandria via LeMat-Bulk: an optimized crystal structure of Na2AlGa2Au5 (PBE).

CIF file:
```
data_Na2AlGa2Au5
_chemical_formula_sum 'Na4 Al2 Ga4 Au10'
_cell_length_a 11.0283
_cell_length_b 11.0283
_cell_length_c 3.2056
_cell_angle_alpha 90.00
_cell_angle_beta 90.00
_cell_angle_gamma 90.00
_symmetry_space_group_name_H-M 'P 4/m b m'
_symmetry_Int_Tables_number 127
_symmetry_space_group_name_Hall '-P 4 2ab'
loop_
_atom_site_label
_atom_site_type_symbol
_atom_site_fract_x
_atom_site_fract_y
_atom_site_fract_z
_atom_site_occupancy
Na1 Na 0.1716 0.3284 0.0000 1
Al1 Al 0.0000 0.0000 0.0000 1
Ga1 Ga 0.1344 0.6344 0.0000 1
Au1 Au 0.0000 0.5000 0.5000 1
Au2 Au 0.0632 0.8154 0.5000 1
```

For the formation enthalpy at 0 K, the calculation gives -0.35 eV per atom. The calculation puts the total magnetic moment at 0.00 μB/f.u. The value obtained for the mass density is 10.20 g/cm3.



# 5
Entry from Alexandria via LeMat-Bulk: an optimized crystal structure of MgPdAu (PBE).

CIF file:
```
data_MgPdAu
_chemical_formula_sum 'Mg4 Pd4 Au4'
_cell_length_a 5.0006
_cell_length_b 8.5374
_cell_length_c 5.1284
_cell_angle_alpha 90.00
_cell_angle_beta 112.17
_cell_angle_gamma 90.00
_symmetry_space_group_name_H-M 'C 1 2 1'
_symmetry_Int_Tables_number 5
loop_
_symmetry_equiv_pos_as_xyz
'x,y,z'
'-x,y,-z'
'x+1/2,y+1/2,z'
'-x+1/2,y+1/2,-z'
loop_
_atom_site_label
_atom_site_type_symbol
_atom_site_fract_x
_atom_site_fract_y
_atom_site_fract_z
_atom_site_occupancy
Mg1 Mg 0.0000 0.0000 0.0000 1
Mg2 Mg 0.0000 0.2048 0.5000 1
Pd1 Pd 0.0000 0.6767 0.0000 1
Pd2 Pd 0.0000 0.8674 0.5000 1
Au1 Au 0.0000 0.3411 0.0000 1
Au2 Au 0.0000 0.5345 0.5000 1
```

For the formation enthalpy at 0 K, the calculation gives -0.55 eV per atom. The calculation puts the total magnetic moment at 0.00 μB/f.u. The value obtained for the mass density is 10.74 g/cm3.



# 6
Entry from Alexandria via LeMat-Bulk: an optimized crystal structure of Ho3SnHg2 (PBE).

CIF file:
```
data_Ho3SnHg2
_chemical_formula_sum 'Ho6 Sn2 Hg4'
_cell_length_a 5.2556
_cell_length_b 15.8823
_cell_length_c 3.7059
_cell_angle_alpha 90.00
_cell_angle_beta 90.00
_cell_angle_gamma 90.00
_symmetry_space_group_name_H-M 'C m m m'
_symmetry_Int_Tables_number 65
_symmetry_space_group_name_Hall '-C 2 2'
loop_
_atom_site_label
_atom_site_type_symbol
_atom_site_fract_x
_atom_site_fract_y
_atom_site_fract_z
_atom_site_occupancy
Ho1 Ho 0.0000 0.0000 0.0000 1
Ho2 Ho 0.0000 0.3336 0.0000 1
Sn1 Sn 0.0000 0.5000 0.5000 1
Hg1 Hg 0.0000 0.1743 0.5000 1
```

For the formation enthalpy at 0 K, the calculation gives -0.53 eV per atom. The calculation puts the total magnetic moment at 0.00 μB/f.u. The value obtained for the mass density is 10.89 g/cm3.



> Look up the total magnetic moment of the first one.

15.31 μB/f.u.